[1]
This record from the Alexandria database describes an optimized crystal structure of CeTh2Al. The functional is PBE-GGA.

It has space group P4/mmm (No. 123), with a = 4.8739 Å, b = 4.8739 Å, c = 4.6650 Å, α = 90.00°, β = 90.00° and γ = 90.00°. The asymmetric unit holds Ce at (0.0000, 0.0000, 0.0000), Th at (0.0000, 0.5000, 0.5000) and Al at (0.5000, 0.5000, 0.0000).

The density of states at the Fermi level comes out at 7.926 states/eV per cell. As for the calculated volume: 110.8 Å³/f.u. The calculation puts the magnetic moment at 0.0 μB/cell. The formation energy is -121.6 meV/atom.

=====

[2]
This record from the Alexandria database describes an optimized crystal structure of Ce4ThAl. The functional is PBE-GGA.

It has space group P4_2/nmc (No. 137, origin choice 2), with a = 8.0307 Å, b = 8.0307 Å, c = 5.9784 Å, α = 90.00°, β = 90.00° and γ = 90.00°. The asymmetric unit holds Ce at (0.0867, 0.2500, 0.0572), Th at (0.2500, 0.7500, 0.2500) and Al at (0.2500, 0.7500, 0.7500).

The density of states at the Fermi level comes out at 32.498 states/eV per cell. As for the calculated volume: 192.8 Å³/f.u. The calculation puts the magnetic moment at 4.3 μB/cell. The formation energy is 439.2 meV/atom.

=====

[3]
This record from the Alexandria database describes an optimized crystal structure of Ce2ThAl. The functional is PBE-GGA.

It has space group C2/m (No. 12), with a = 10.8757 Å, b = 4.6322 Å, c = 4.6380 Å, α = 90.00°, β = 115.23° and γ = 90.00°. The asymmetric unit holds Ce at (0.2497, 0.0000, 0.2486), Th at (0.0000, 0.0000, 0.5000) and Al at (0.0000, 0.5000, 0.0000).

The density of states at the Fermi level comes out at 20.502 states/eV per cell. As for the calculated volume: 105.7 Å³/f.u. The calculation puts the magnetic moment at 2.0 μB/cell. The formation energy is -127.4 meV/atom.

=====

[4]
This record from the Alexandria database describes an optimized crystal structure of Ce3ThAl. The functional is PBE-GGA.

It has space group Imma (No. 74), with a = 5.7270 Å, b = 7.8524 Å, c = 11.9951 Å, α = 90.00°, β = 90.00° and γ = 90.00°. The asymmetric unit holds Ce at (0.0000, 0.0717, 0.2018), Ce at (0.2500, 0.2500, 0.7500), Th at (0.0000, 0.0000, 0.5000) and Al at (0.0000, 0.2500, 0.9745).

The density of states at the Fermi level comes out at 35.736 states/eV per cell. As for the calculated volume: 134.9 Å³/f.u. The calculation puts the magnetic moment at 0.0 μB/cell. The formation energy is 86.7 meV/atom.

=====

[5]
This record from the Alexandria database describes an optimized crystal structure of CeThAl2. The functional is PBE-GGA.

It has space group Fm-3m (No. 225), with a = 7.3996 Å, b = 7.3996 Å, c = 7.3996 Å, α = 90.00°, β = 90.00° and γ = 90.00°. The asymmetric unit holds Ce at (0.0000, 0.0000, 0.0000), Th at (0.0000, 0.0000, 0.5000) and Al at (0.2500, 0.2500, 0.2500).

The density of states at the Fermi level comes out at 31.048 states/eV per cell. As for the calculated volume: 101.3 Å³/f.u. The calculation puts the magnetic moment at 4.1 μB/cell. The formation energy is -209.6 meV/atom.

=====

[6]
This record from the Alexandria database describes an optimized crystal structure of Ce4ThAl4. The functional is PBE-GGA.

It has space group I4/m (No. 87), with a = 9.0706 Å, b = 9.0706 Å, c = 5.2113 Å, α = 90.00°, β = 90.00° and γ = 90.00°. The asymmetric unit holds Ce at (0.1333, 0.1835, 0.0000), Th at (0.0000, 0.0000, 0.5000) and Al at (0.0256, 0.3570, 0.5000).

The density of states at the Fermi level comes out at 34.060 states/eV per cell. As for the calculated volume: 214.4 Å³/f.u. The calculation puts the magnetic moment at 3.4 μB/cell. The formation energy is -127.0 meV/atom.